[1]
A relaxed structure of LiTlSi2. Source: the Alexandria database, functional PBE-GGA.

```
data_LiTlSi2
_chemical_formula_sum 'Li3 Tl3 Si6'
_cell_length_a 2.9998
_cell_length_b 2.9998
_cell_length_c 30.4825
_cell_angle_alpha 90.00
_cell_angle_beta 90.00
_cell_angle_gamma 120.00
_symmetry_space_group_name_H-M 'R -3 m'
_symmetry_Int_Tables_number 166
_symmetry_space_group_name_Hall '-R 3 2"'
loop_
_atom_site_label
_atom_site_fract_x
_atom_site_fract_y
_atom_site_fract_z
Li1 0.0000 0.0000 0.0000
Tl1 0.0000 0.0000 0.5000
Si1 0.0000 0.0000 0.2620
```

Output
**N(E_F)**: 3.11 states/eV/f.u.
**Offset from the most stable computed form**: 0.381 eV per atom
**Formation energy (no corrections)**: 446 meV per atom
**VASP energy**: -3.34 eV per atom

---

[2]
A relaxed structure of LiTlSi2. Source: the Alexandria database, functional PBE-GGA.

```
data_LiTlSi2
_chemical_formula_sum 'Li2 Tl2 Si4'
_cell_length_a 4.478
_cell_length_b 4.807
_cell_length_c 7.411
_cell_angle_alpha 90.00
_cell_angle_beta 90.00
_cell_angle_gamma 90.00
_symmetry_space_group_name_H-M 'C m m 2'
_symmetry_Int_Tables_number 35
loop_
_symmetry_equiv_pos_as_xyz
'x,y,z'
'-x,-y,z'
'-x,y,z'
'x,-y,z'
'x+1/2,y+1/2,z'
'-x+1/2,-y+1/2,z'
'-x+1/2,y+1/2,z'
'x+1/2,-y+1/2,z'
loop_
_atom_site_label
_atom_site_fract_x
_atom_site_fract_y
_atom_site_fract_z
Li1 0.000 0.000 0.000
Tl1 0.000 0.500 0.673
Si1 0.000 0.000 0.365
Si2 0.000 0.500 0.218
```

Output
**N(E_F)**: 1.23 states/eV/f.u.
**Offset from the most stable computed form**: 0.117 eV per atom
**Formation energy (no corrections)**: 182 meV per atom
**VASP energy**: -3.60 eV per atom

---

[3]
A relaxed structure of Li2Tl2Si. Source: the Alexandria database, functional PBE-GGA.

```
data_Li2Tl2Si
_chemical_formula_sum 'Li4 Tl4 Si2'
_cell_length_a 6.822
_cell_length_b 6.822
_cell_length_c 4.460
_cell_angle_alpha 90.00
_cell_angle_beta 90.00
_cell_angle_gamma 90.00
_symmetry_space_group_name_H-M 'P 4/m b m'
_symmetry_Int_Tables_number 127
_symmetry_space_group_name_Hall '-P 4 2ab'
loop_
_atom_site_label
_atom_site_fract_x
_atom_site_fract_y
_atom_site_fract_z
Li1 0.148 0.352 0.000
Tl1 0.171 0.671 0.500
Si1 0.000 0.000 0.000
```

Output
**N(E_F)**: 1.28 states/eV/f.u.
**Offset from the most stable computed form**: 0.000 eV per atom
**Formation energy (no corrections)**: 39 meV per atom
**VASP energy**: -2.76 eV per atom

---

[4]
A relaxed structure of LiTlSi2. Source: the Alexandria database, functional PBE-GGA.

```
data_LiTlSi2
_chemical_formula_sum 'Li1 Tl1 Si2'
_cell_length_a 2.979
_cell_length_b 3.797
_cell_length_c 7.100
_cell_angle_alpha 90.00
_cell_angle_beta 90.12
_cell_angle_gamma 90.00
_symmetry_space_group_name_H-M 'P 1 m 1'
_symmetry_Int_Tables_number 6
loop_
_symmetry_equiv_pos_as_xyz
'x,y,z'
'x,-y,z'
loop_
_atom_site_label
_atom_site_fract_x
_atom_site_fract_y
_atom_site_fract_z
Li1 0.000 0.000 0.000
Tl1 0.499 0.500 0.698
Si1 0.501 0.500 0.155
Si2 0.502 0.000 0.354
```

Output
**N(E_F)**: 1.39 states/eV/f.u.
**Offset from the most stable computed form**: 0.109 eV per atom
**Formation energy (no corrections)**: 174 meV per atom
**VASP energy**: -3.61 eV per atom

---

[5]
A relaxed structure of Li2TlSi. Source: the Alexandria database, functional PBE-GGA.

```
data_Li2TlSi
_chemical_formula_sum 'Li2 Tl1 Si1'
_cell_length_a 3.292
_cell_length_b 4.475
_cell_length_c 4.805
_cell_angle_alpha 90.00
_cell_angle_beta 90.00
_cell_angle_gamma 90.00
_symmetry_space_group_name_H-M 'P m m 2'
_symmetry_Int_Tables_number 25
loop_
_symmetry_equiv_pos_as_xyz
'x,y,z'
'-x,-y,z'
'-x,y,z'
'x,-y,z'
loop_
_atom_site_label
_atom_site_fract_x
_atom_site_fract_y
_atom_site_fract_z
Li1 0.000 0.000 0.000
Li2 0.000 0.500 0.376
Tl1 0.500 0.000 0.507
Si1 0.500 0.500 0.896
```

Output
**N(E_F)**: 1.40 states/eV/f.u.
**Formation energy (no corrections)**: -57 meV per atom
**VASP energy**: -2.96 eV per atom

---

[6]
A relaxed structure of LiTlSi2. Source: the Alexandria database, functional PBE-GGA.

```
data_LiTlSi2
_chemical_formula_sum 'Li2 Tl2 Si4'
_cell_length_a 3.823
_cell_length_b 3.823
_cell_length_c 10.108
_cell_angle_alpha 90.00
_cell_angle_beta 90.00
_cell_angle_gamma 90.00
_symmetry_space_group_name_H-M 'I 4/m m m'
_symmetry_Int_Tables_number 139
_symmetry_space_group_name_Hall '-I 4 2'
loop_
_atom_site_label
_atom_site_fract_x
_atom_site_fract_y
_atom_site_fract_z
Li1 0.000 0.000 0.000
Tl1 0.000 0.000 0.500
Si1 0.000 0.500 0.250
```

Output
**N(E_F)**: 1.18 states/eV/f.u.
**Offset from the most stable computed form**: 0.183 eV per atom
**Formation energy (no corrections)**: 248 meV per atom
**VASP energy**: -3.53 eV per atom

---

- The highest VASP energy belongs to which entry?
  Li2Tl2Si

---

- Which value of VASP energy does entry 4 give?
  -3.61 eV per atom